No. 1
## Pa3Si2Ni9 (PBE)

Data for an optimized crystal structure of Pa3Si2Ni9.

SG = No. 71
formation energy without anion corrections = -0.472 eV per atom

abc: 7.6215 7.6215 7.6215
angles: 150.65 106.28 81.25
Last column: nearest neighbours and their distance in Å.
Element x y z (fractional)
Pa: 0.0000 0.0000 0.0000  12 Ni 2.90-3.05, 4 Si 3.16
Pa: 0.3069 0.3069 0.0000  10 Ni 2.76-2.95, 2 Si 3.04
Pa: 0.6931 0.6931 0.0000  10 Ni 2.76-2.95, 2 Si 3.04
Si: 0.2743 0.5000 0.7743  6 Ni 2.34-2.38
Si: 0.7257 0.5000 0.2257  6 Ni 2.34-2.38
Ni: 0.0387 0.6740 0.3647  1 Si 2.38, 4 Ni 2.45-2.56
Ni: 0.1680 0.8853 0.2826  2 Si 2.34, 4 Ni 2.39-2.56
Ni: 0.3092 0.6740 0.6353  1 Si 2.38, 4 Ni 2.45-2.56
Ni: 0.3973 0.1147 0.2826  2 Si 2.34, 4 Ni 2.39-2.56
Ni: 0.5000 0.0000 0.5000  4 Ni 2.39
Ni: 0.6027 0.8853 0.7174  2 Si 2.34, 4 Ni 2.39-2.56
Ni: 0.6908 0.3260 0.3647  1 Si 2.38, 4 Ni 2.45-2.56
Ni: 0.8320 0.1147 0.7174  2 Si 2.34, 4 Ni 2.39-2.56
Ni: 0.9613 0.3260 0.6353  1 Si 2.38, 4 Ni 2.45-2.56

No. 2
## PrCu8Pt4 (PBE)

Data for an optimized crystal structure of PrCu8Pt4.

SG = No. 139
electronic total energy = -5.03 eV per atom

abc: 6.6219 6.6219 6.6219
angles: 99.82 99.82 131.22
Last column: nearest neighbours and their distance in Å.
Element x y z (fractional)
Pr: 0.0000 0.0000 0.0000  12 Cu 3.01-3.33, 8 Pt 3.31
Cu: 0.0000 0.3528 0.3528  3 Cu 2.51-2.68, 4 Pt 2.68
Cu: 0.0000 0.6472 0.6472  3 Cu 2.51-2.68, 4 Pt 2.68
Cu: 0.2781 0.5000 0.7781  4 Pt 2.54, 4 Cu 2.68
Cu: 0.3528 0.0000 0.3528  3 Cu 2.51-2.68, 4 Pt 2.68
Cu: 0.5000 0.2781 0.7781  4 Pt 2.54, 4 Cu 2.68
Cu: 0.5000 0.7219 0.2219  4 Pt 2.54, 4 Cu 2.68
Cu: 0.6472 0.0000 0.6472  3 Cu 2.51-2.68, 4 Pt 2.68
Cu: 0.7219 0.5000 0.2219  4 Pt 2.54, 4 Cu 2.68
Pt: 0.0000 0.0000 0.5000  8 Cu 2.54-2.68, 2 Pt 2.73
Pt: 0.0000 0.5000 0.0000  8 Cu 2.54-2.68, 2 Pt 2.73
Pt: 0.5000 0.0000 0.0000  8 Cu 2.54-2.68, 2 Pt 2.73
Pt: 0.5000 0.5000 0.5000  8 Cu 2.54-2.68, 2 Pt 2.73

No. 3
## Ho2BiSe (PBE)

Data for an optimized crystal structure of Ho2BiSe.

SG = No. 160
formation energy without anion corrections = -1.208 eV per atom
offset from the most stable computed form = 0.19 eV per formula unit

abc: 7.6659 7.6659 7.6659
angles: 31.71 31.71 31.71
Last column: nearest neighbours and their distance in Å.
Element x y z (fractional)
Ho: 0.0000 0.0000 0.0000  3 Se 2.96, 3 Bi 3.14
Ho: 0.1833 0.1833 0.1833  3 Se 2.88, 3 Bi 3.14
Bi: 0.7585 0.7585 0.7585  6 Ho 3.14
Se: 0.5884 0.5884 0.5884  6 Ho 2.88-2.96

No. 4
## AsIrS (PBE)

Data for an optimized crystal structure of AsIrS.

SG = No. 2
formation energy without anion corrections = -0.451 eV per atom

abc: 4.7354 6.9316 9.5603
angles: 84.55 89.13 88.90
Last column: nearest neighbours and their distance in Å.
Element x y z (fractional)
As: 0.1939 0.0838 0.2980  1 S 2.37, 3 Ir 2.45-2.46
As: 0.2120 0.4200 0.9609  1 As 2.42, 3 Ir 2.45-2.48
As: 0.3030 0.2532 0.6319  3 Ir 2.42-2.48, 1 S 2.43
As: 0.6970 0.7468 0.3681  3 Ir 2.42-2.48, 1 S 2.43
As: 0.7880 0.5800 0.0391  1 As 2.42, 3 Ir 2.45-2.48
As: 0.8061 0.9162 0.7020  1 S 2.37, 3 Ir 2.45-2.46
Ir: 0.0000 0.5000 0.5000  4 S 2.42-2.44, 2 As 2.48
Ir: 0.0084 0.1620 0.8383  3 S 2.36-2.46, 3 As 2.44-2.46
Ir: 0.4956 0.3292 0.1707  3 S 2.37-2.47, 3 As 2.46-2.48
Ir: 0.5000 0.0000 0.5000  2 S 2.41, 4 As 2.42-2.45
Ir: 0.5044 0.6708 0.8293  3 S 2.37-2.47, 3 As 2.46-2.48
Ir: 0.9916 0.8380 0.1617  3 S 2.36-2.46, 3 As 2.44-2.46
S: 0.2104 0.7525 0.6199  1 As 2.37, 3 Ir 2.41-2.47
S: 0.2855 0.5847 0.2893  3 Ir 2.39-2.46, 1 As 2.43
S: 0.2917 0.9150 0.9550  3 Ir 2.36-2.44, 1 S 2.52
S: 0.7083 0.0850 0.0450  3 Ir 2.36-2.44, 1 S 2.52
S: 0.7145 0.4153 0.7107  3 Ir 2.39-2.46, 1 As 2.43
S: 0.7896 0.2475 0.3801  1 As 2.37, 3 Ir 2.41-2.47

No. 5
## Li2LaBOs (PBE)

Data for an optimized crystal structure of Li2LaBOs.

SG = No. 123
electronic total energy = -5.31 eV per atom

abc: 4.3391 4.3391 4.2846
angles: 90.00 90.00 90.00
Last column: nearest neighbours and their distance in Å.
Element x y z (fractional)
Li: 0.0000 0.5000 0.0000  2 B 2.17
Li: 0.5000 0.0000 0.0000  2 B 2.17
La: 0.0000 0.0000 0.5000  8 Li 3.05, 4 Os 3.07
B: 0.5000 0.5000 0.0000  2 Os 2.14, 4 Li 2.17
Os: 0.5000 0.5000 0.5000  2 B 2.14

No. 6
## AcSn2HgPd5 (PBE)

Data for an optimized crystal structure of AcSn2HgPd5.

SG = No. 123
electronic total energy = -4.65 eV per atom

abc: 4.8505 4.8505 8.4898
angles: 90.00 90.00 90.00
Last column: nearest neighbours and their distance in Å.
Element x y z (fractional)
Ac: 0.0000 0.0000 0.0000  8 Pd 3.04
Sn: 0.5000 0.5000 0.3365  5 Pd 2.63-2.86, 1 Sn 2.78
Sn: 0.5000 0.5000 0.6635  5 Pd 2.63-2.86, 1 Sn 2.78
Hg: 0.0000 0.0000 0.5000  8 Pd 3.42, 8 Sn 3.70
Pd: 0.0000 0.5000 0.2152  2 Sn 2.63
Pd: 0.0000 0.5000 0.7848  2 Sn 2.63
Pd: 0.5000 0.0000 0.2152  2 Sn 2.63
Pd: 0.5000 0.0000 0.7848  2 Sn 2.63
Pd: 0.5000 0.5000 0.0000  2 Sn 2.86, 8 Pd 3.04

No. 7
## Co2Pt2Rh (PBE)

Data for an optimized crystal structure of Co2Pt2Rh.

SG = No. 139
offset from the most stable computed form = 0.92 eV per formula unit

abc: 6.9236 6.9236 6.9236
angles: 151.90 151.90 40.17
Last column: nearest neighbours and their distance in Å.
Element x y z (fractional)
Co: 0.2500 0.7500 0.5000  4 Co 2.38, 4 Pt 2.55
Co: 0.7500 0.2500 0.5000  4 Co 2.38, 4 Pt 2.55
Pt: 0.1023 0.1023 0.0000  4 Co 2.55, 1 Pt 2.66, 4 Rh 2.72
Pt: 0.8977 0.8977 0.0000  4 Co 2.55, 1 Pt 2.66, 4 Rh 2.72
Rh: 0.5000 0.5000 0.0000  8 Pt 2.72

No. 8
## MnCr2H (PBE)

Data for an optimized crystal structure of MnCr2H.

SG = No. 166
offset from the most stable computed form = 3.07 eV per formula unit

abc: 5.6816 5.6816 5.6816
angles: 35.03 35.03 35.03
Last column: nearest neighbours and their distance in Å.
Element x y z (fractional)
Mn: 0.0000 0.0000 0.0000  6 Cr 2.21
Cr: 0.3952 0.3952 0.3952  1 H 1.67
Cr: 0.6048 0.6048 0.6048  1 H 1.67
H: 0.5000 0.5000 0.5000  2 Cr 1.67

No. 9
## GaRuN (PBE)

Data for an optimized crystal structure of GaRuN.

SG = No. 166
formation energy without anion corrections = 0.335 eV per atom

abc: 11.5641 11.5641 11.5641
angles: 13.92 13.92 13.92
Last column: nearest neighbours and their distance in Å.
Element x y z (fractional)
Ga: 0.1237 0.1237 0.1237  3 N 2.46
Ga: 0.8763 0.8763 0.8763  3 N 2.46
Ru: 0.3670 0.3670 0.3670  3 N 2.04
Ru: 0.6330 0.6330 0.6330  3 N 2.04
N: 0.2636 0.2636 0.2636  3 Ru 2.04
N: 0.7364 0.7364 0.7364  3 Ru 2.04

No. 10
## Li2SmPaTe4 (PBE)

Data for an optimized crystal structure of Li2SmPaTe4.

SG = No. 10
formation energy without anion corrections = -1.057 eV per atom

abc: 7.5305 4.2997 7.5931
angles: 90.00 108.99 90.00
Last column: nearest neighbours and their distance in Å.
Element x y z (fractional)
Li: 0.0000 0.0000 0.0000  6 Te 3.02-3.05
Li: 0.5000 0.5000 0.0000  6 Te 3.01
Sm: 0.0000 0.5000 0.5000  6 Te 3.14-3.15
Pa: 0.5000 0.0000 0.5000  6 Te 3.11-3.12
Te: 0.2476 0.5000 0.2368  3 Li 3.01-3.02, 2 Pa 3.12, 1 Sm 3.15
Te: 0.2584 0.0000 0.7627  3 Li 3.01-3.05, 1 Pa 3.11, 2 Sm 3.14
Te: 0.7416 0.0000 0.2373  3 Li 3.01-3.05, 1 Pa 3.11, 2 Sm 3.14
Te: 0.7524 0.5000 0.7632  3 Li 3.01-3.02, 2 Pa 3.12, 1 Sm 3.15

No. 11
## SiIN2Cl (PBE)

Data for an optimized crystal structure of SiIN2Cl.

SG = No. 123
formation energy without anion corrections = 2.267 eV per atom
offset from the most stable computed form = 6.89 eV per formula unit

abc: 4.0334 4.0334 6.6708
angles: 90.00 90.00 90.00
Last column: nearest neighbours and their distance in Å.
Element x y z (fractional)
Si: 0.0000 0.0000 0.0000  4 I 2.85
I: 0.5000 0.5000 0.0000  4 Si 2.85
N: 0.0000 0.5000 0.5000  2 Cl 2.02
N: 0.5000 0.0000 0.5000  2 Cl 2.02
Cl: 0.5000 0.5000 0.5000  4 N 2.02

No. 12
## ScReTeI2 (PBE)

Data for an optimized crystal structure of ScReTeI2.

SG = No. 123
formation energy without anion corrections = 0.678 eV per atom
offset from the most stable computed form = 0.00 eV per formula unit

abc: 5.7218 5.7218 5.6411
angles: 90.00 90.00 90.00
Last column: nearest neighbours and their distance in Å.
Element x y z (fractional)
Sc: 0.0000 0.0000 0.0000  2 Te 2.82, 4 I 2.86
Re: 0.5000 0.5000 0.5000  8 I 4.02, 4 Te 4.05
Te: 0.0000 0.0000 0.5000  2 Sc 2.82
I: 0.0000 0.5000 0.0000  2 Sc 2.86
I: 0.5000 0.0000 0.0000  2 Sc 2.86

| no. | calculated density (g/cm3) |
| --- | --- |
| 1 | 10.388 |
| 2 | 11.934 |
| 3 | 9.283 |
| 4 | 9.545 |
| 5 | 7.283 |
| 6 | 9.952 |
| 7 | 13.801 |
| 8 | 4.922 |
| 9 | 7.881 |
| 10 | 6.469 |
| 11 | 3.343 |
| 12 | 5.508 |